Compound: TbCoO3
Source: OQMD
Functional: GGA+U
Structure: optimized geometry

Lattice parameters (Å, degrees): 5.1996 5.5512 7.5121 90.00 90.00 90.00
Last column: magnetic moment on the atom in μB.
Positions (direct):
O  0.6984  0.3066  0.0506  -0.02
O  0.9024  0.5239  0.7500  -0.03
O  0.8016  0.8066  0.0506  -0.02
O  0.4024  0.9761  0.2500  -0.02
O  0.6984  0.3066  0.4494  -0.02
O  0.0976  0.4761  0.2500  -0.03
O  0.5976  0.0239  0.7500  -0.02
O  0.1984  0.1934  0.9494  -0.02
O  0.3016  0.6934  0.5506  -0.02
O  0.3016  0.6934  0.9494  -0.02
O  0.1984  0.1934  0.5506  -0.02
O  0.8016  0.8066  0.4494  -0.02
Tb  0.9804  0.0748  0.2500  0.02
Tb  0.5196  0.5748  0.2500  0.01
Tb  0.4804  0.4252  0.7500  0.01
Tb  0.0196  0.9252  0.7500  0.02
Co  0.5000  0.0000  0.0000  2.05
Co  0.5000  0.0000  0.5000  2.05
Co  0.0000  0.5000  0.5000  2.03
Co  0.0000  0.5000  0.0000  2.03

Calculated values
**Space group**: Pnma, No. 62
**VASP energy**: -7.1727 eV/atom